[1]
Material: VAgP2
Method: DFT, PBE
State: optimized geometry

Results
The calculation puts the density of states at the Fermi level at 1.10 states/eV/f.u. As for the formation energy: 9.21 kJ/mol of atoms. For the energy above the most stable polymorph in this dataset, the calculation gives 355 meV/atom. The space group is I-42d, No. 122.

Lattice parameters (Å, degrees): 5.603 5.603 6.671 65.17 65.17 90.00
Sites, in units of the cell vectors:
P  0.588  0.125  0.250
P  0.162  0.625  0.250
P  0.375  0.412  0.750
P  0.875  0.838  0.750
Ag  0.000  0.000  0.000
Ag  0.750  0.250  0.500
V  0.500  0.500  0.000
V  0.250  0.750  0.500

[2]
Material: VAgP2
Method: DFT, PBE
State: optimized geometry

Results
The calculation puts the density of states at the Fermi level at 1.18 states/eV/f.u. As for the formation energy: -25.03 kJ/mol of atoms. For the energy above the most stable polymorph in this dataset, the calculation gives 0 meV/atom. The space group is R-3m, No. 166.

Lattice parameters (Å, degrees): 3.020 3.020 8.357 79.59 79.59 60.00
Sites, in units of the cell vectors:
P  0.100  0.100  0.699
P  0.900  0.900  0.301
Ag  0.000  0.000  0.000
V  0.500  0.500  0.500

[3]
Material: VAgP3
Method: DFT, PBE
State: optimized geometry

Results
The calculation puts the density of states at the Fermi level at 4.23 states/eV/f.u. As for the formation energy: 37.64 kJ/mol of atoms. For the energy above the most stable polymorph in this dataset, the calculation gives 0 meV/atom. The space group is Pm-3m, No. 221.

Lattice parameters (Å, degrees): 4.551 4.551 4.551 90.00 90.00 90.00
Sites, in units of the cell vectors:
P  0.000  0.500  0.000
P  0.000  0.000  0.500
P  0.500  0.000  0.000
Ag  0.500  0.500  0.500
V  0.000  0.000  0.000

[4]
Material: VAgP3
Method: DFT, PBE
State: optimized geometry

Results
The calculation puts the density of states at the Fermi level at 6.25 states/eV/f.u. As for the formation energy: 128.74 kJ/mol of atoms. For the energy above the most stable polymorph in this dataset, the calculation gives 944 meV/atom. The space group is Pm-3m, No. 221.

Lattice parameters (Å, degrees): 4.749 4.749 4.749 90.00 90.00 90.00
Site moments in Bohr magnetons follow the coordinates.
Sites, in units of the cell vectors:
P  0.000  0.500  0.000  -0.12
P  0.000  0.000  0.500  -0.12
P  0.500  0.000  0.000  -0.12
Ag  0.000  0.000  0.000  -0.03
V  0.500  0.500  0.500  2.74

Question: Which of these has the lowest density of states at the Fermi level?
Answer: number 1

Copy entry 2 word for word.
Material: VAgP2
Method: DFT, PBE
State: optimized geometry

Results
The calculation puts the density of states at the Fermi level at 1.18 states/eV/f.u. As for the formation energy: -25.03 kJ/mol of atoms. For the energy above the most stable polymorph in this dataset, the calculation gives 0 meV/atom. The space group is R-3m, No. 166.

Lattice parameters (Å, degrees): 3.020 3.020 8.357 79.59 79.59 60.00
Sites, in units of the cell vectors:
P  0.100  0.100  0.699
P  0.900  0.900  0.301
Ag  0.000  0.000  0.000
V  0.500  0.500  0.500